Record 1
DFT (PBE) results for a geometry-optimized CeIn2Ag structure.

Cell: 4.641 4.641 4.648 Å, 90.00 90.00 90.00°
Positions (direct):
Ce: 0.000 0.000 0.000
In: 0.000 0.500 0.500
In: 0.500 0.000 0.500
Ag: 0.500 0.500 0.000

calculated formation energy = -0.23 eV/atom
total magnetic moment = 0.95 μB per formula unit
N(E_F) = 7.90 states/eV per cell
SG = P4/mmm



Record 2
DFT (PBE) results for a geometry-optimized Zr4Sn2Bi structure.

Cell: 8.537 8.537 8.537 Å, 144.40 144.40 51.23°
Positions (direct):
Zr: 0.000 0.500 0.500
Zr: 0.182 0.182 0.000
Zr: 0.500 0.000 0.500
Zr: 0.818 0.818 0.000
Sn: 0.370 0.370 0.000
Sn: 0.630 0.630 0.000
Bi: 0.000 0.000 0.000

calculated formation energy = 0.60 eV/atom
total magnetic moment = 0.00 μB per formula unit
N(E_F) = 8.91 states/eV per cell
SG = I4/mmm



Record 3
DFT (PBE) results for a geometry-optimized Pm2DySe3 structure.

Cell: 4.090 4.090 21.112 Å, 90.00 90.00 120.00°
Positions (direct):
Pm: 0.333 0.667 0.083
Pm: 0.333 0.667 0.417
Pm: 0.667 0.333 0.583
Pm: 0.667 0.333 0.917
Dy: 0.000 0.000 0.250
Dy: 0.000 0.000 0.750
Se: 0.000 0.000 0.000
Se: 0.000 0.000 0.500
Se: 0.333 0.667 0.668
Se: 0.333 0.667 0.832
Se: 0.667 0.333 0.168
Se: 0.667 0.333 0.332

total magnetic moment = 0.00 μB per formula unit
N(E_F) = 6.06 states/eV per cell
raw formation energy = -1.786 eV/atom
SG = P6_3/mmc